Version i
This record from the Alexandria database describes a relaxed structure of MnCoTc. The functional is PBE-GGA.

Computed properties:
The density of states at the Fermi level is 1.205 states/eV per atom. As for the total magnetization: 2.32 Bohr magnetons per cell. The volume is 37 Å³/cell. Its space group is Imm2 (44).

Unit cell a=4.479 b=4.479 c=4.479 alpha=146.26 beta=132.07 gamma=59.89
Positions (direct):
1 Mn 0.000 0.000 0.000
2 Co 0.339 0.339 0.000
3 Tc 0.671 0.671 0.000


Version ii
This record from the Alexandria database describes a relaxed structure of MnCoTc. The functional is PBE-GGA.

Computed properties:
The density of states at the Fermi level is 1.088 states/eV per atom. As for the total magnetization: 3.54 Bohr magnetons per cell. The volume is 38 Å³/cell. Its space group is P3m1 (156).

Unit cell a=4.113 b=4.113 c=2.568 alpha=90.00 beta=90.00 gamma=120.00
Positions (direct):
1 Mn 0.000 0.000 0.000
2 Co 0.333 0.667 0.751
3 Tc 0.667 0.333 0.343


Preferred: version i; penalty for the next structure: 29 meV/atom.


Version i
This record from the Alexandria database describes a relaxed structure of MnCoTc. The functional is PBE-GGA.

Computed properties:
The density of states at the Fermi level is 0.833 states/eV per atom. As for the total magnetization: 4.37 Bohr magnetons per cell. The volume is 44 Å³/cell. Its space group is F-43m (216).

Unit cell a=3.960 b=3.960 c=3.960 alpha=60.00 beta=60.00 gamma=60.00
Positions (direct):
1 Mn 0.000 0.000 0.000
2 Co 0.750 0.750 0.750
3 Tc 0.500 0.500 0.500


Version ii
This record from the Alexandria database describes a relaxed structure of MnCoTc. The functional is PBE-GGA.

Computed properties:
The density of states at the Fermi level is 1.050 states/eV per atom. As for the total magnetization: 1.70 Bohr magnetons per cell. The volume is 37 Å³/cell. Its space group is I4mm (107).

Unit cell a=5.783 b=5.783 c=5.783 alpha=154.17 beta=154.17 gamma=36.85
Positions (direct):
1 Mn 0.000 0.000 0.000
2 Co 0.342 0.342 0.000
3 Tc 0.678 0.678 0.000


Version iii
This record from the Alexandria database describes a relaxed structure of MnCoTc. The functional is PBE-GGA.

Computed properties:
The density of states at the Fermi level is 1.409 states/eV per atom. As for the total magnetization: 0.08 Bohr magnetons per cell. The volume is 72 Å³/cell. Its space group is Cmcm (63).

Unit cell a=5.672 b=5.672 c=3.654 alpha=90.00 beta=90.00 gamma=142.31
Positions (direct):
1 Mn 0.249 0.751 0.750
2 Mn 0.751 0.249 0.250
3 Co 0.416 0.584 0.250
4 Co 0.584 0.416 0.750
5 Tc 0.091 0.909 0.250
6 Tc 0.909 0.091 0.750


Preferred: version iii; penalty for the next structure: 40 meV/atom.


Version i
This record from the Alexandria database describes a relaxed structure of MnCoTe. The functional is PBE-GGA.

Computed properties:
The density of states at the Fermi level is 0.402 states/eV per atom. As for the total magnetization: 0.09 Bohr magnetons per cell. The volume is 115 Å³/cell. Its space group is P2_1/m (11).

Unit cell a=3.612 b=3.688 c=8.804 alpha=90.00 beta=101.79 gamma=90.00
Positions (direct):
1 Mn 0.040 0.250 0.081
2 Mn 0.960 0.750 0.919
3 Co 0.456 0.250 0.912
4 Co 0.544 0.750 0.088
5 Te 0.148 0.750 0.297
6 Te 0.852 0.250 0.703


Version ii
This record from the Alexandria database describes a relaxed structure of MnCoTe. The functional is PBE-GGA.

Computed properties:
The density of states at the Fermi level is 1.007 states/eV per atom. As for the total magnetization: 4.67 Bohr magnetons per cell. The volume is 52 Å³/cell. Its space group is P3m1 (156).

Unit cell a=3.257 b=3.257 c=5.685 alpha=90.00 beta=90.00 gamma=120.00
Positions (direct):
1 Mn 0.000 0.000 0.000
2 Co 0.333 0.667 0.715
3 Te 0.667 0.333 0.391


Version iii
This record from the Alexandria database describes a relaxed structure of MnCoTe. The functional is PBE-GGA.

Computed properties:
The density of states at the Fermi level is 0.913 states/eV per atom. As for the total magnetization: 4.06 Bohr magnetons per cell. The volume is 51 Å³/cell. Its space group is F-43m (216).

Unit cell a=4.164 b=4.164 c=4.164 alpha=60.00 beta=60.00 gamma=60.00
Positions (direct):
1 Mn 0.000 0.000 0.000
2 Co 0.250 0.250 0.250
3 Te 0.750 0.750 0.750


Preferred: version i; penalty for the next structure: 283 meV/atom.


Version i
This record from the Alexandria database describes a relaxed structure of MnCoTe. The functional is PBE-GGA.

Computed properties:
The density of states at the Fermi level is 0.763 states/eV per atom. As for the total magnetization: 4.07 Bohr magnetons per cell. The volume is 50 Å³/cell. Its space group is P3m1 (156).

Unit cell a=4.152 b=4.152 c=3.359 alpha=90.00 beta=90.00 gamma=120.00
Positions (direct):
1 Mn 0.000 0.000 0.000
2 Co 0.333 0.667 0.601
3 Te 0.667 0.333 0.482


Version ii
This record from the Alexandria database describes a relaxed structure of MnCoTe. The functional is PBE-GGA.

Computed properties:
The density of states at the Fermi level is 1.320 states/eV per atom. As for the total magnetization: 4.20 Bohr magnetons per cell. The volume is 47 Å³/cell. Its space group is I4mm (107).

Unit cell a=4.629 b=4.629 c=4.629 alpha=136.06 beta=136.06 gamma=63.89
Positions (direct):
1 Mn 0.000 0.000 0.000
2 Co 0.346 0.346 0.000
3 Te 0.672 0.672 0.000


Preferred: version ii; penalty for the next structure: 12 meV/atom.


Version i
This record from the Alexandria database describes a relaxed structure of TiMnCo. The functional is PBE-GGA.

Computed properties:
The density of states at the Fermi level is 1.233 states/eV per atom. As for the total magnetization: 1.99 Bohr magnetons per cell. The volume is 75 Å³/cell. Its space group is Imma (74).

Unit cell a=4.755 b=4.755 c=4.755 alpha=122.36 beta=119.10 gamma=88.77
Positions (direct):
1 Ti 0.371 0.121 0.250
2 Ti 0.629 0.879 0.750
3 Mn 0.000 0.000 0.500
4 Mn 0.000 0.500 0.000
5 Co 0.000 0.500 0.500
6 Co 0.500 0.500 0.000


Version ii
This record from the Alexandria database describes a relaxed structure of TiMnCo. The functional is PBE-GGA.

Computed properties:
The density of states at the Fermi level is 1.312 states/eV per atom. As for the total magnetization: 0.62 Bohr magnetons per cell. The volume is 41 Å³/cell. Its space group is I4mm (107).

Unit cell a=6.477 b=6.477 c=6.477 alpha=157.21 beta=157.21 gamma=32.46
Positions (direct):
1 Ti 0.000 0.000 0.000
2 Mn 0.810 0.810 0.000
3 Co 0.191 0.191 0.000


Preferred: version i; penalty for the next structure: 812 meV/atom.


Version i
This record from the Alexandria database describes a relaxed structure of TiMnCo3. The functional is PBE-GGA.

Computed properties:
The density of states at the Fermi level is 1.354 states/eV per atom. As for the total magnetization: 2.54 Bohr magnetons per cell. The volume is 126 Å³/cell. Its space group is P6_3/m (176).

Unit cell a=5.962 b=5.962 c=4.101 alpha=90.00 beta=90.00 gamma=120.00
Positions (direct):
1 Ti 0.333 0.667 0.250
2 Ti 0.667 0.333 0.750
3 Mn 0.000 0.000 0.250
4 Mn 0.000 0.000 0.750
5 Co 0.101 0.408 0.750
6 Co 0.307 0.899 0.750
7 Co 0.408 0.307 0.250
8 Co 0.592 0.693 0.750
9 Co 0.693 0.101 0.250
10 Co 0.899 0.592 0.250


Version ii
This record from the Alexandria database describes a relaxed structure of TiMnCo3. The functional is PBE-GGA.

Computed properties:
The density of states at the Fermi level is 1.762 states/eV per atom. As for the total magnetization: 0.00 Bohr magnetons per cell. The volume is 71 Å³/cell. Its space group is Pm-3m (221).

Unit cell a=4.133 b=4.133 c=4.133 alpha=90.00 beta=90.00 gamma=90.00
Positions (direct):
1 Ti 0.000 0.000 0.000
2 Mn 0.500 0.500 0.500
3 Co 0.000 0.500 0.500
4 Co 0.500 0.000 0.500
5 Co 0.500 0.500 0.000


Preferred: version i; penalty for the next structure: 517 meV/atom.